# PmMg2Sc

A relaxed structure of PmMg2Sc (PBE, the Alexandria database).

Summary:
The energy above the most stable polymorph in this dataset comes out at 0.51 eV/f.u. The calculation puts the magnetic moment at 0.00 μB per cell. The formation enthalpy at 0 K is 0.057 eV/atom. As for the electronic total energy: -3.511 eV/atom. As for the space-group type: No. 160.

Cell and atoms, written as POSCAR:
```
PmMg2Sc
1.0
3.331 0.000 0.000
1.665 2.885 0.000
1.665 0.962 11.085
Pm Mg Sc
1 2 1
direct
0.499 0.499 0.503
0.079 0.079 0.764
0.255 0.255 0.235
0.668 0.668 0.997
```


# CsNbRh3

A relaxed structure of CsNbRh3 (PBE, the Alexandria database).

Summary:
The energy above the most stable polymorph in this dataset comes out at 0.00 eV/f.u. The calculation puts the magnetic moment at 0.00 μB per cell. The formation enthalpy at 0 K is 0.791 eV/atom. As for the electronic total energy: -5.804 eV/atom. As for the space-group type: No. 221.

Cell and atoms, written as POSCAR:
```
CsNbRh3
1.0
-1.658 0.666 4.588
-3.496 -3.380 -0.773
3.045 -3.518 1.610
Rh Nb Cs
3 1 1
direct
0.000 0.500 0.000
0.500 0.000 0.000
0.000 0.000 0.500
0.000 0.000 0.000
0.500 0.500 0.500
```


# Sr2AsRh

A relaxed structure of Sr2AsRh (PBE, the Alexandria database).

Summary:
The calculation puts the magnetic moment at 0.00 μB per cell. The formation enthalpy at 0 K is -0.212 eV/atom. As for the electronic total energy: -4.053 eV/atom. As for the space-group type: No. 122.

Cell and atoms, written as POSCAR:
```
Sr2AsRh
1.0
8.198 0.000 0.000
0.000 8.198 0.000
4.099 4.099 3.157
Rh Sr As
2 4 2
direct
0.750 0.250 0.500
0.000 0.000 0.000
0.875 0.903 0.750
0.375 0.347 0.750
0.653 0.125 0.250
0.097 0.625 0.250
0.500 0.500 0.000
0.250 0.750 0.500
```


# Ta2HgSe

A relaxed structure of Ta2HgSe (PBE, the Alexandria database).

Summary:
The energy above the most stable polymorph in this dataset comes out at 0.33 eV/f.u. The uncorrected formation energy is 0.056 eV/atom. The calculation puts the magnetic moment at 0.00 μB per cell. As for the electronic total energy: -6.817 eV/atom. As for the space-group type: No. 35.

Cell and atoms, written as POSCAR:
```
Ta2HgSe
1.0
3.007 0.000 0.000
-0.874 2.877 0.000
0.000 0.000 9.796
Se Ta Hg
1 2 1
direct
0.500 0.500 0.809
0.000 0.000 0.006
0.500 0.500 0.223
0.000 0.000 0.461
```


# DySb2Pd

A relaxed structure of DySb2Pd (PBE, the Alexandria database).

Summary:
The uncorrected formation energy is -0.633 eV/atom. The calculation puts the magnetic moment at 0.00 μB per cell. As for the electronic total energy: -5.143 eV/atom. As for the space-group type: No. 123.

Cell and atoms, written as POSCAR:
```
DySb2Pd
1.0
4.070 0.000 0.000
0.000 4.740 0.000
0.000 0.000 4.740
Pd Sb Dy
1 2 1
direct
0.500 0.000 0.000
0.000 0.000 0.500
0.000 0.500 0.000
0.500 0.500 0.500
```


# TcTePb2

A relaxed structure of TcTePb2 (PBE, the Alexandria database).

Summary:
The uncorrected formation energy is 0.280 eV/atom. The calculation puts the magnetic moment at 0.00 μB per cell. As for the electronic total energy: -4.951 eV/atom. As for the space-group type: No. 44.

Cell and atoms, written as POSCAR:
```
TcTePb2
1.0
7.442 0.012 -0.002
5.254 5.270 0.002
-6.011 -3.451 2.709
Pb Te Tc
2 1 1
direct
0.682 0.182 0.500
0.012 0.012 0.000
0.327 0.827 0.500
0.479 0.479 0.000
```